[1]
A plane-wave DFT calculation with GGA-PBE was carried out for a relaxed structure of EuTlBi2.

Summary:
The calculation puts the density of states at the Fermi level at 7.913 states/eV/f.u. The value obtained for the raw total energy is -5.518 eV per atom. As for the formation energy: -1.67 eV/f.u.

a b c (Å): 4.4114 4.4114 6.7449
angles (deg): 90.00 90.00 90.00
Space group P4/mmm (No. 123)
Unique sites:
Eu: 0.0000 0.0000 0.0000
Tl: 0.0000 0.0000 0.5000
Bi: 0.5000 0.5000 0.2307

=====

[2]
A plane-wave DFT calculation with GGA-PBE was carried out for a relaxed structure of TaInBr6.

Summary:
The formation energy from raw total energies is -6.82 eV per formula unit. The value obtained for the raw total energy is -3.931 eV per atom.

a b c (Å): 7.4617 12.1916 7.2632
angles (deg): 90.00 106.84 90.00
Space group C2/m (No. 12)
Unique sites:
Ta: 0.0000 0.0000 0.0000
In: 0.0000 0.5000 0.5000
Br: 0.2010 0.1481 0.2090
Br: 0.2132 0.0000 0.7859

=====

[3]
A plane-wave DFT calculation with GGA-PBE was carried out for a relaxed structure of TlCoCu2.

Summary:
The calculation puts the density of states at the Fermi level at 5.821 states/eV/f.u. The value obtained for the raw total energy is -4.009 eV per atom. As for the formation energy: 1.63 eV/f.u.

a b c (Å): 3.8542 3.8542 7.7912
angles (deg): 90.00 90.00 90.00
Space group I4/mmm (No. 139)
Unique sites:
Tl: 0.0000 0.0000 0.0000
Co: 0.0000 0.0000 0.5000
Cu: 0.0000 0.5000 0.2500

=====

[4]
A plane-wave DFT calculation with GGA-PBE was carried out for a relaxed structure of Na4In6Sn.

Summary:
The calculation puts the density of states at the Fermi level at 6.426 states/eV/f.u. The value obtained for the raw total energy is -2.392 eV per atom. As for the formation energy: -0.60 eV/f.u.

a b c (Å): 6.8070 6.8070 14.3541
angles (deg): 90.00 90.00 90.00
Space group I-42m (No. 121)
Unique sites:
Na: 0.2062 0.2062 0.1746
In: 0.0000 0.5000 0.0000
In: 0.1638 0.1638 0.3984
Sn: 0.0000 0.0000 0.0000

=====

[5]
A plane-wave DFT calculation with GGA-PBE was carried out for a relaxed structure of CeDy2Pb3.

Summary:
The calculation puts the density of states at the Fermi level at 7.922 states/eV/f.u. The value obtained for the raw total energy is -4.830 eV per atom. As for the formation energy: -2.72 eV/f.u.

a b c (Å): 17.2005 6.4766 6.3542
angles (deg): 90.00 100.81 90.00
Space group C2/c (No. 15)
Unique sites:
Ce: 0.0000 0.1091 0.2500
Dy: 0.1658 0.3745 0.0799
Pb: 0.0000 0.3884 0.7500
Pb: 0.1700 0.1249 0.5835

=====

[6]
A plane-wave DFT calculation with GGA-PBE was carried out for a relaxed structure of BeGaCo2C.

Summary:
The calculation puts the density of states at the Fermi level at 1.962 states/eV/f.u. The value obtained for the raw total energy is -6.062 eV per atom. As for the formation energy: -0.12 eV/f.u.

a b c (Å): 3.8211 3.8211 3.4487
angles (deg): 90.00 90.00 90.00
Space group P4/mmm (No. 123)
Unique sites:
Be: 0.0000 0.0000 0.0000
Ga: 0.5000 0.5000 0.0000
Co: 0.0000 0.5000 0.5000
C: 0.0000 0.0000 0.5000

=====

[7]
A plane-wave DFT calculation with GGA-PBE was carried out for a relaxed structure of Pr2PuCl.

Summary:
The calculation puts the density of states at the Fermi level at 8.868 states/eV/f.u. The formation energy from raw total energies is -1.91 eV per formula unit. The value obtained for the raw total energy is -6.913 eV per atom.

a b c (Å): 3.4801 3.4801 9.4395
angles (deg): 90.00 90.00 90.00
Space group P4/mmm (No. 123)
Unique sites:
Pr: 0.0000 0.0000 0.2362
Pu: 0.5000 0.5000 0.5000
Cl: 0.5000 0.5000 0.0000

=====

[8]
A plane-wave DFT calculation with GGA-PBE was carried out for a relaxed structure of DyCdGa2Au5.

Summary:
The calculation puts the density of states at the Fermi level at 5.469 states/eV/f.u. The value obtained for the raw total energy is -3.486 eV per atom. As for the formation energy: -3.42 eV/f.u.

a b c (Å): 4.4081 4.4081 9.0236
angles (deg): 90.00 90.00 90.00
Space group P4/mmm (No. 123)
Unique sites:
Dy: 0.0000 0.0000 0.0000
Cd: 0.0000 0.0000 0.5000
Ga: 0.5000 0.5000 0.1333
Au: 0.0000 0.5000 0.2775
Au: 0.5000 0.5000 0.5000

=====

- Number 1 is which compound?
  EuTlBi2

=====

What did the sixth record say?
A plane-wave DFT calculation with GGA-PBE was carried out for a relaxed structure of BeGaCo2C.

Summary:
The calculation puts the density of states at the Fermi level at 1.962 states/eV/f.u. The value obtained for the raw total energy is -6.062 eV per atom. As for the formation energy: -0.12 eV/f.u.

a b c (Å): 3.8211 3.8211 3.4487
angles (deg): 90.00 90.00 90.00
Space group P4/mmm (No. 123)
Unique sites:
Be: 0.0000 0.0000 0.0000
Ga: 0.5000 0.5000 0.0000
Co: 0.0000 0.5000 0.5000
C: 0.0000 0.0000 0.5000

=====

- Which value of raw total energy does entry 1 give?
  -5.518 eV per atom

=====

- What is the formula in the fourth record?
  Na4In6Sn